This record from Alexandria via LeMat-Bulk describes Y3ZrSe after structural relaxation. The functional is PBE.

Calculated values
formation energy (no corrections)	503	meV/atom
energy above the most stable polymorph in this dataset	764.4	meV/atom

a = 5.513 Å, b = 5.513 Å, c = 5.513 Å
α = 90.00°, β = 90.00°, γ = 90.00°
Space group Pm-3m (No. 221)
Unique sites:
1 Y 0.000 0.000 0.500
2 Zr 0.000 0.000 0.000
3 Se 0.500 0.500 0.500

---

This record from Alexandria via LeMat-Bulk describes TlCd2As after structural relaxation. The functional is PBE.

Calculated values
energy above the most stable polymorph in this dataset	133.7	meV/atom
energy of formation	0.15	eV/atom

a = 4.448 Å, b = 4.448 Å, c = 9.800 Å
α = 90.00°, β = 90.00°, γ = 90.00°
Space group I-4m2 (No. 119)
Unique sites:
1 Tl 0.000 0.000 0.000
2 Cd 0.000 0.000 0.500
3 Cd 0.000 0.500 0.250
4 As 0.000 0.500 0.750

---

This record from Alexandria via LeMat-Bulk describes MoPWS2 after structural relaxation. The functional is PBE.

Calculated values
formation energy (no corrections)	813	meV/atom
energy above the most stable polymorph in this dataset	0.0	meV/atom

a = 4.615 Å, b = 4.615 Å, c = 4.835 Å
α = 90.00°, β = 90.00°, γ = 90.00°
Space group P4/mmm (No. 123)
Unique sites:
1 Mo 0.000 0.000 0.000
2 P 0.500 0.500 0.000
3 W 0.500 0.500 0.500
4 S 0.000 0.500 0.500

---

This record from Alexandria via LeMat-Bulk describes NdMgH6Pt2 after structural relaxation. The functional is PBE.

a = 4.5798 Å, b = 4.5798 Å, c = 16.5462 Å
α = 90.00°, β = 90.00°, γ = 120.00°
Space group R-3m (No. 166, hexagonal axes)
Unique sites:
1 Nd 0.0000 0.0000 0.0000
2 Mg 0.0000 0.0000 0.5000
3 H 0.0111 0.5056 0.0636
4 Pt 0.0000 0.0000 0.2110

---

This record from Alexandria via LeMat-Bulk describes Li5Ca2Au12 after structural relaxation. The functional is PBE.

Calculated values
energy of formation	-0.51	eV/atom

a = 9.3485 Å, b = 9.3485 Å, c = 14.0761 Å
α = 90.00°, β = 90.00°, γ = 120.00°
Space group R-3m (No. 166, hexagonal axes)
Unique sites:
1 Li 0.0000 0.0000 0.0910
2 Li 0.0000 0.5000 0.5000
3 Ca 0.0000 0.0000 0.3484
4 Au 0.0000 0.3065 0.0000
5 Au 0.0204 0.5102 0.8449

---

This record from Alexandria via LeMat-Bulk describes Pa2BiPt after structural relaxation. The functional is PBE.

Calculated values
energy above the most stable polymorph in this dataset	35.0	meV/atom
energy of formation	-0.40	eV/atom

a = 4.1510 Å, b = 4.1510 Å, c = 22.7427 Å
α = 90.00°, β = 90.00°, γ = 120.00°
Space group R3m (No. 160, hexagonal axes)
Unique sites:
1 Pa 0.0000 0.0000 0.0000
2 Pa 0.0000 0.0000 0.1980
3 Bi 0.0000 0.0000 0.4312
4 Pt 0.0000 0.0000 0.6003

---

This record from Alexandria via LeMat-Bulk describes Pr8Si3NiBr4 after structural relaxation. The functional is PBE.

Calculated values
formation energy (no corrections)	-982	meV/atom

a = 8.5539 Å, b = 8.5539 Å, c = 22.1461 Å
α = 90.00°, β = 90.00°, γ = 120.00°
Space group R-3m (No. 166, hexagonal axes)
Unique sites:
1 Pr 0.0000 0.0000 0.2383
2 Pr 0.0086 0.5043 0.2363
3 Si 0.0000 0.5000 0.5000
4 Ni 0.0000 0.0000 0.5000
5 Br 0.0000 0.0000 0.0000
6 Br 0.0000 0.5000 0.0000

---

This record from Alexandria via LeMat-Bulk describes Sr2CaPtPb after structural relaxation. The functional is PBE.

Calculated values
energy of formation	-0.54	eV/atom

a = 5.835 Å, b = 5.835 Å, c = 5.474 Å
α = 90.00°, β = 90.00°, γ = 90.00°
Space group P4/mmm (No. 123)
Unique sites:
1 Sr 0.000 0.500 0.000
2 Ca 0.000 0.000 0.500
3 Pt 0.000 0.000 0.000
4 Pb 0.500 0.500 0.500

---

This record from Alexandria via LeMat-Bulk describes Ca2Si2Hg after structural relaxation. The functional is PBE.

Calculated values
formation energy (no corrections)	-85	meV/atom
energy above the most stable polymorph in this dataset	294.2	meV/atom

a = 5.573 Å, b = 5.573 Å, c = 9.192 Å
α = 90.00°, β = 90.00°, γ = 90.00°
Space group I4/mmm (No. 139)
Unique sites:
1 Ca 0.000 0.500 0.250
2 Si 0.000 0.000 0.123
3 Hg 0.000 0.000 0.500

---

This record from Alexandria via LeMat-Bulk describes K2CeTcN4 after structural relaxation. The functional is PBE.

Calculated values
formation energy (no corrections)	-450	meV/atom

a = 7.075 Å, b = 7.621 Å, c = 5.949 Å
α = 90.00°, β = 90.00°, γ = 90.00°
Space group Pmn2_1 (No. 31)
Unique sites:
1 K 0.243 0.148 0.000
2 Ce 0.000 0.384 0.478
3 Tc 0.000 0.660 0.967
4 N 0.000 0.439 0.094
5 N 0.000 0.635 0.663
6 N 0.223 0.778 0.037

---

Magnetic moment, respectively: 0.000 0.000 0.753 0.000 0.000 0.269 0.000 0.000 0.000 0.133 μB/atom.
Total energy, respectively: -28.9 -16.5 -33.4 -129.5 -187.5 -91.5 -248.1 -17.8 -31.2 -110.8 eV/cell.